--- A ---
! PBE-GGA SrGe2Pd4, relaxed; values from VASP
&SYSTEM
  ibrav = 0, nat = 14, ntyp = 3
/
ATOMIC_SPECIES
Sr 87.62 Sr.upf
Ge 72.64 Ge.upf
Pd 106.42 Pd.upf
ATOMIC_POSITIONS crystal
Sr 0.000 0.000 0.000
Sr 0.500 0.500 0.500
Ge 0.225 0.225 0.500
Ge 0.275 0.725 0.000
Ge 0.725 0.275 0.000
Ge 0.775 0.775 0.500
Pd 0.079 0.669 0.500
Pd 0.169 0.421 0.000
Pd 0.331 0.921 0.500
Pd 0.421 0.169 0.000
Pd 0.579 0.831 0.000
Pd 0.669 0.079 0.500
Pd 0.831 0.579 0.000
Pd 0.921 0.331 0.500
CELL_PARAMETERS angstrom
8.070 0.000 0.000
0.000 8.070 0.000
0.000 0.000 3.914
! Fermi-level density of states	0.530	states/eV/atom



--- B ---
! PBE-GGA SrGe2Pd4, relaxed; values from VASP
&SYSTEM
  ibrav = 0, nat = 28, ntyp = 3
/
ATOMIC_SPECIES
Sr 87.62 Sr.upf
Ge 72.64 Ge.upf
Pd 106.42 Pd.upf
ATOMIC_POSITIONS crystal
Sr 0.139 0.250 0.002
Sr 0.361 0.750 0.502
Sr 0.639 0.250 0.498
Sr 0.861 0.750 0.998
Ge 0.041 0.750 0.266
Ge 0.201 0.250 0.569
Ge 0.299 0.750 0.069
Ge 0.459 0.250 0.766
Ge 0.541 0.750 0.234
Ge 0.701 0.250 0.931
Ge 0.799 0.750 0.431
Ge 0.959 0.250 0.734
Pd 0.019 0.750 0.864
Pd 0.064 0.250 0.503
Pd 0.169 0.750 0.375
Pd 0.231 0.750 0.754
Pd 0.269 0.250 0.254
Pd 0.331 0.250 0.875
Pd 0.436 0.750 0.003
Pd 0.481 0.250 0.364
Pd 0.519 0.750 0.636
Pd 0.564 0.250 0.997
Pd 0.669 0.750 0.125
Pd 0.731 0.750 0.746
Pd 0.769 0.250 0.246
Pd 0.831 0.250 0.625
Pd 0.936 0.750 0.497
Pd 0.981 0.250 0.136
CELL_PARAMETERS angstrom
18.683 0.000 0.000
0.000 4.182 0.000
0.000 0.000 6.806
! Fermi-level density of states	0.451	states/eV/atom



Which of the structures shown above is the most stable? The most stable is A.